[1]
Sr2CuSe: relaxed, PBE.

Output
As for the space group: No. 216. Its crystal system is cubic.

Unit cell a=5.400 b=5.400 c=5.400 alpha=60.00 beta=60.00 gamma=60.00
Atoms (fractional coordinates):
Cu1 0.500 0.500 0.500
Se1 0.750 0.750 0.750
Sr1 0.000 0.000 0.000
Sr2 0.250 0.250 0.250

=====

[2]
Ba2ZrSnRu: relaxed, PBE.

Output
As for the space group: No. 123. Its crystal system is tetragonal. The formation energy comes out at 3.22 eV/f.u.

Unit cell a=6.586 b=4.704 c=6.586 alpha=90.00 beta=90.00 gamma=90.00
Atoms (fractional coordinates):
Ru1 0.000 0.500 0.000
Ba1 0.000 0.000 0.500
Ba2 0.500 0.000 0.000
Zr1 0.000 0.000 0.000
Sn1 0.500 0.500 0.500

=====

Number 1: total energy -11.579 eV for the cell shown. Number 2: total energy -22.452 eV for the cell shown.